1.
Below is a geometry-optimized K3VCu structure, with properties calculated at the PBE level.

Cell and atoms, written as extended XYZ:
```
5
Lattice="6.208 0.000 0.000 0.000 6.208 0.000 0.000 0.000 6.208" Properties=species:S:1:pos:R:3 pbc="T T T"
K 0.000 0.000 3.104
K 0.000 3.104 0.000
K 3.104 0.000 0.000
V 3.104 3.104 3.104
Cu 0.000 0.000 0.000
```

Calculated values
As for the density of states at the Fermi level: 8.58 states/eV/f.u. The space group is Pm-3m. The calculation puts the energy of formation from the pure elements at 4.880 eV/f.u. The calculation puts the relative energy among the computed polymorphs at 0 meV per atom. The calculation puts the total moment at 4.848 μB/cell.



2.
Below is a geometry-optimized KCu3W structure, with properties calculated at the PBE level.

Cell and atoms, written as extended XYZ:
```
5
Lattice="4.663 0.000 0.000 0.000 4.663 0.000 0.000 0.000 4.663" Properties=species:S:1:pos:R:3 pbc="T T T"
K 0.000 0.000 0.000
Cu 0.000 0.000 2.331
Cu 0.000 2.331 0.000
Cu 2.331 0.000 0.000
W 2.331 2.331 2.331
```

Calculated values
As for the density of states at the Fermi level: 3.25 states/eV/f.u. The space group is Pm-3m. The calculation puts the energy of formation from the pure elements at 11.994 eV/f.u. The calculation puts the relative energy among the computed polymorphs at 1221 meV per atom. The calculation puts the total moment at 2.957 μB/cell.



3.
Below is a geometry-optimized KCuW3 structure, with properties calculated at the PBE level.

Cell and atoms, written as extended XYZ:
```
5
Lattice="4.487 0.000 0.000 0.000 4.487 0.000 0.000 0.000 4.487" Properties=species:S:1:pos:R:3 pbc="T T T"
K 0.000 0.000 0.000
Cu 2.243 2.243 2.243
W 0.000 0.000 2.243
W 0.000 2.243 0.000
W 2.243 0.000 0.000
```

Calculated values
As for the density of states at the Fermi level: 3.92 states/eV/f.u. The space group is Pm-3m. The calculation puts the energy of formation from the pure elements at 18.710 eV/f.u. The calculation puts the relative energy among the computed polymorphs at 1340 meV per atom. The calculation puts the total moment at 0.000 μB/cell.



4.
Below is a geometry-optimized KCu2W structure, with properties calculated at the PBE level.

Cell and atoms, written as extended XYZ:
```
4
Lattice="2.647 0.000 0.000 0.000 3.925 0.000 -0.023 0.000 7.459" Properties=species:S:1:pos:R:3 pbc="T T T"
K 0.000 0.000 0.000
Cu 1.312 1.963 2.481
Cu 1.312 1.963 4.978
W -0.012 0.000 3.729
```

Calculated values
As for the density of states at the Fermi level: 2.69 states/eV/f.u. The space group is P2/m. The calculation puts the energy of formation from the pure elements at 2.569 eV/f.u. The calculation puts the relative energy among the computed polymorphs at 0 meV per atom. The calculation puts the total moment at 0.000 μB/cell.



What is the relative energy among the computed polymorphs in the first record? 0 meV per atom



Which value of relative energy among the computed polymorphs does entry 4 give? 0 meV per atom



Number 1 is which compound? K3VCu